Record 1
A relaxed ScTa crystal. Source: Alexandria via LeMat-Bulk, functional PBE.

Summary:
Relative energy among the computed polymorphs (eV per formula unit): 0.163
Crystal system: cubic

Cell lengths 6.844, 6.844, 6.844 Å; angles 90.00, 90.00, 90.00 degrees
Space group Fd-3m (No. 227, origin choice 2)
Inequivalent atoms, fractional coordinates:
Sc: 0.125 0.125 0.125 x8
Ta: 0.125 0.125 0.625 x8

Record 2
A relaxed ScTa crystal. Source: Alexandria via LeMat-Bulk, functional PBE.

Summary:
Relative energy among the computed polymorphs (eV per formula unit): 0.576
Crystal system: tetragonal

Cell lengths 8.604, 8.604, 4.901 Å; angles 90.00, 90.00, 90.00 degrees
Space group P4/m (No. 83)
Inequivalent atoms, fractional coordinates:
Sc: 0.069 0.333 0.000 x4
Sc: 0.116 0.754 0.500 x4
Ta: 0.253 0.442 0.500 x4
Ta: 0.298 0.609 0.000 x4

Record 3
A relaxed Sc2Ta crystal. Source: Alexandria via LeMat-Bulk, functional PBE.

Summary:
Relative energy among the computed polymorphs (eV per formula unit): 0.308
Crystal system: orthorhombic

Cell lengths 4.603, 13.147, 4.254 Å; angles 90.00, 90.00, 90.00 degrees
Space group Cmcm (No. 63)
Inequivalent atoms, fractional coordinates:
Sc: 0.000 0.080 0.250 x4
Sc: 0.000 0.250 0.750 x4
Ta: 0.000 0.425 0.250 x4

Record 4
A relaxed ScTa crystal. Source: Alexandria via LeMat-Bulk, functional PBE.

Summary:
Relative energy among the computed polymorphs (eV per formula unit): 0.251
Crystal system: orthorhombic

Cell lengths 3.002, 15.221, 5.415 Å; angles 90.00, 90.00, 90.00 degrees
Space group Amm2 (No. 38)
Inequivalent atoms, fractional coordinates:
Sc: 0.000 0.000 0.000 x2
Sc: 0.000 0.172 0.710 x4
Ta: 0.500 0.000 0.482 x2
Ta: 0.500 0.155 0.218 x4

Record 5
A relaxed ScTa crystal. Source: Alexandria via LeMat-Bulk, functional PBE.

Summary:
Relative energy among the computed polymorphs (eV per formula unit): 0.231
Crystal system: orthorhombic

Cell lengths 3.728, 4.444, 4.860 Å; angles 90.00, 90.00, 90.00 degrees
Space group Cmmm (No. 65)
Inequivalent atoms, fractional coordinates:
Sc: 0.000 0.000 0.000 x2
Ta: 0.000 0.500 0.500 x2

Record 6
A relaxed ScTa crystal. Source: Alexandria via LeMat-Bulk, functional PBE.

Summary:
Relative energy among the computed polymorphs (eV per formula unit): 0.344
Crystal system: hexagonal

Cell lengths 4.6397, 4.6397, 9.4626 Å; angles 90.00, 90.00, 120.00 degrees
Space group P6_3/mmc (No. 194)
Inequivalent atoms, fractional coordinates:
Sc: 0.3333 0.6667 0.0864 x4
Ta: 0.0000 0.0000 0.2500 x2
Ta: 0.3333 0.6667 0.7500 x2

Record 7
A relaxed Sc2Ta crystal. Source: Alexandria via LeMat-Bulk, functional PBE.

Summary:
Relative energy among the computed polymorphs (eV per formula unit): 0.144
Crystal system: orthorhombic

Cell lengths 3.048, 4.915, 8.496 Å; angles 90.00, 90.00, 90.00 degrees
Space group Pmm2 (No. 25)
Inequivalent atoms, fractional coordinates:
Sc: 0.000 0.000 0.000 x1
Sc: 0.000 0.000 0.333 x1
Sc: 0.000 0.500 0.806 x1
Sc: 0.500 0.000 0.658 x1
Ta: 0.500 0.500 0.151 x1
Ta: 0.500 0.500 0.475 x1

Record 8
A relaxed Sc5Ta4 crystal. Source: Alexandria via LeMat-Bulk, functional PBE.

Summary:
Relative energy among the computed polymorphs (eV per formula unit): 0.000
Crystal system: tetragonal

Cell lengths 10.541, 10.541, 3.440 Å; angles 90.00, 90.00, 90.00 degrees
Space group I4/mmm (No. 139)
Inequivalent atoms, fractional coordinates:
Sc: 0.000 0.000 0.000 x2
Sc: 0.166 0.166 0.500 x8
Ta: 0.000 0.353 0.000 x8

Record 9
A relaxed Sc2Ta crystal. Source: Alexandria via LeMat-Bulk, functional PBE.

Summary:
Relative energy among the computed polymorphs (eV per formula unit): 0.262
Crystal system: orthorhombic

Cell lengths 3.094, 4.355, 9.505 Å; angles 90.00, 90.00, 90.00 degrees
Space group Immm (No. 71)
Inequivalent atoms, fractional coordinates:
Sc: 0.000 0.000 0.159 x4
Ta: 0.000 0.000 0.500 x2

Record 10
A relaxed ScTa crystal. Source: Alexandria via LeMat-Bulk, functional PBE.

Summary:
Relative energy among the computed polymorphs (eV per formula unit): 5.623
Crystal system: cubic

Cell lengths 7.907, 7.907, 7.907 Å; angles 90.00, 90.00, 90.00 degrees
Space group Pm-3n (No. 223)
Inequivalent atoms, fractional coordinates:
Sc: 0.000 0.250 0.500 x6
Ta: 0.000 0.500 0.250 x6

Record 11
A relaxed Sc2Ta crystal. Source: Alexandria via LeMat-Bulk, functional PBE.

Summary:
Relative energy among the computed polymorphs (eV per formula unit): 0.590
Crystal system: tetragonal

Cell lengths 3.629, 3.629, 9.734 Å; angles 90.00, 90.00, 90.00 degrees
Space group I4/mmm (No. 139)
Inequivalent atoms, fractional coordinates:
Sc: 0.000 0.000 0.157 x4
Ta: 0.000 0.000 0.500 x2

Record 12
A relaxed Sc2Ta crystal. Source: Alexandria via LeMat-Bulk, functional PBE.

Summary:
Relative energy among the computed polymorphs (eV per formula unit): 1.417
Crystal system: tetragonal

Cell lengths 5.068, 5.068, 2.994 Å; angles 90.00, 90.00, 90.00 degrees
Space group P4/mmm (No. 123)
Inequivalent atoms, fractional coordinates:
Sc: 0.000 0.500 0.000 x2
Ta: 0.000 0.000 0.500 x1

| no. | size of the total moment (μB/cell) |
| --- | --- |
| 1 | 0.0 |
| 2 | 0.0 |
| 3 | 0.0 |
| 4 | 0.0 |
| 5 | 0.0 |
| 6 | 0.0 |
| 7 | 0.0 |
| 8 | 0.0 |
| 9 | 0.0 |
| 10 | 20.4 |
| 11 | 0.0 |
| 12 | 0.0 |